1.
This record from the Alexandria database describes an optimized crystal structure of PmNd2DyTm4. The functional is PBE.

Cell: 9.493 9.493 9.493 Å, 138.14 103.13 91.60°
Fractional positions:
1 Pm 0.000 0.000 0.000
2 Pm 0.500 0.000 0.500
3 Nd 0.000 0.500 0.500
4 Nd 0.500 0.000 0.000
5 Nd 0.500 0.500 0.000
6 Nd 0.500 0.500 0.500
7 Dy 0.000 0.000 0.500
8 Dy 0.000 0.500 0.000
9 Tm 0.246 0.250 0.996
10 Tm 0.246 0.750 0.496
11 Tm 0.247 0.247 0.500
12 Tm 0.247 0.747 0.000
13 Tm 0.753 0.253 0.000
14 Tm 0.753 0.753 0.500
15 Tm 0.754 0.250 0.504
16 Tm 0.754 0.750 0.004

Summary:
Volume ... 33.1 Å³ per atom
Symmetry ... Imma, No. 74
D(E_F) ... 2.360 states/eV/atom

=====

2.
This record from the Alexandria database describes an optimized crystal structure of Pm2Nd6Dy3Tm. The functional is PBE.

Cell: 6.292 6.292 11.948 Å, 95.03 95.03 120.00°
Fractional positions:
1 Pm 0.167 0.833 0.000
2 Pm 0.833 0.167 0.000
3 Nd 0.084 0.416 0.748
4 Nd 0.252 0.252 0.252
5 Nd 0.416 0.084 0.748
6 Nd 0.584 0.916 0.252
7 Nd 0.748 0.748 0.748
8 Nd 0.916 0.584 0.252
9 Dy 0.000 0.000 0.500
10 Dy 0.334 0.666 0.500
11 Dy 0.666 0.334 0.500
12 Tm 0.500 0.500 0.000

Summary:
Volume ... 33.6 Å³ per atom
Symmetry ... C2/m, No. 12
D(E_F) ... 1.240 states/eV/atom

=====

3.
This record from the Alexandria database describes an optimized crystal structure of Pm3NdDy6Tm2. The functional is PBE.

Cell: 6.184 6.184 11.829 Å, 94.98 94.98 119.97°
Fractional positions:
1 Pm 0.000 0.000 0.000
2 Pm 0.333 0.667 0.000
3 Pm 0.667 0.333 0.000
4 Nd 0.500 0.500 0.500
5 Dy 0.083 0.417 0.252
6 Dy 0.249 0.249 0.748
7 Dy 0.417 0.083 0.252
8 Dy 0.583 0.917 0.748
9 Dy 0.751 0.751 0.252
10 Dy 0.917 0.583 0.748
11 Tm 0.167 0.833 0.500
12 Tm 0.833 0.167 0.500

Summary:
Volume ... 32.2 Å³ per atom
Symmetry ... C2/m, No. 12
D(E_F) ... 1.281 states/eV/atom

=====

4.
This record from the Alexandria database describes an optimized crystal structure of Pm4NdDyTm2. The functional is PBE.

Cell: 6.229 3.609 11.891 Å, 90.00 100.10 90.00°
Fractional positions:
1 Pm 0.248 0.000 0.246
2 Pm 0.250 0.500 0.750
3 Pm 0.750 0.500 0.250
4 Pm 0.752 0.000 0.754
5 Nd 0.500 0.500 0.500
6 Dy 0.500 0.000 0.000
7 Tm 0.000 0.000 0.500
8 Tm 0.000 0.500 0.000

Summary:
Volume ... 32.9 Å³ per atom
Symmetry ... P2/m, No. 10
D(E_F) ... 1.346 states/eV/atom

=====

5.
This record from the Alexandria database describes an optimized crystal structure of Pm6Nd3DyTm2. The functional is PBE.

Cell: 6.284 6.284 11.970 Å, 95.02 95.02 120.01°
Fractional positions:
1 Pm 0.084 0.418 0.755
2 Pm 0.248 0.248 0.245
3 Pm 0.418 0.084 0.755
4 Pm 0.582 0.916 0.245
5 Pm 0.752 0.752 0.755
6 Pm 0.916 0.582 0.245
7 Nd 0.000 0.000 0.500
8 Nd 0.333 0.667 0.500
9 Nd 0.667 0.333 0.500
10 Dy 0.500 0.500 0.000
11 Tm 0.167 0.833 0.000
12 Tm 0.833 0.167 0.000

Summary:
Volume ... 33.6 Å³ per atom
Symmetry ... C2/m, No. 12
D(E_F) ... 1.338 states/eV/atom

=====

6.
This record from the Alexandria database describes an optimized crystal structure of PmNdDyTm. The functional is PBE.

Cell: 8.085 8.085 8.085 Å, 90.00 90.00 90.00°
Fractional positions:
1 Pm 0.000 0.000 0.000
2 Pm 0.000 0.500 0.500
3 Pm 0.500 0.000 0.500
4 Pm 0.500 0.500 0.000
5 Nd 0.000 0.000 0.500
6 Nd 0.000 0.500 0.000
7 Nd 0.500 0.000 0.000
8 Nd 0.500 0.500 0.500
9 Dy 0.250 0.250 0.250
10 Dy 0.250 0.750 0.750
11 Dy 0.750 0.250 0.750
12 Dy 0.750 0.750 0.250
13 Tm 0.250 0.250 0.750
14 Tm 0.250 0.750 0.250
15 Tm 0.750 0.250 0.250
16 Tm 0.750 0.750 0.750

Summary:
Volume ... 33.0 Å³ per atom
Symmetry ... F-43m, No. 216
Relative energy among the computed polymorphs ... 39 kJ/mol of formula units
D(E_F) ... 1.877 states/eV/atom

=====

Formation energy (computed, meV/atom): 422 13 17 18 17 111